# LaPaBi6, relaxed, DFT PBE
# formation enthalpy at 0 K	-0.25	eV per atom
# V	526	Å³ per cell
data_LaPaBi6
_chemical_formula_sum 'La2 Pa2 Bi12'
_cell_length_a 4.572
_cell_length_b 4.532
_cell_length_c 25.375
_cell_angle_alpha 90.00
_cell_angle_beta 90.00
_cell_angle_gamma 90.00
_space_group_name_H-M_alt 'A m m 2'
_space_group_IT_number 38
_space_group_name_Hall 'A 2 -2'
loop_
_atom_site_label
_atom_site_type_symbol
_atom_site_fract_x
_atom_site_fract_y
_atom_site_fract_z
La1 La 0.000 0.000 0.000
Pa1 Pa 0.500 0.000 0.652
Bi1 Bi 0.000 0.000 0.135
Bi2 Bi 0.000 0.000 0.402
Bi3 Bi 0.000 0.000 0.753
Bi4 Bi 0.500 0.000 0.251
Bi5 Bi 0.500 0.000 0.528
Bi6 Bi 0.500 0.000 0.875



# La4PaBi5, relaxed, DFT PBE
# formation enthalpy at 0 K	-0.85	eV per atom
# V	713	Å³ per cell
data_La4PaBi5
_chemical_formula_sum 'La8 Pa2 Bi10'
_cell_length_a 10.407
_cell_length_b 10.407
_cell_length_c 6.583
_cell_angle_alpha 90.00
_cell_angle_beta 90.00
_cell_angle_gamma 90.00
_space_group_name_H-M_alt 'I 4/m'
_space_group_IT_number 87
_space_group_name_Hall '-I 4'
loop_
_atom_site_label
_atom_site_type_symbol
_atom_site_fract_x
_atom_site_fract_y
_atom_site_fract_z
La1 La 0.096 0.698 0.000
Pa1 Pa 0.000 0.000 0.500
Bi1 Bi 0.000 0.000 0.000
Bi2 Bi 0.098 0.710 0.500



# La3PaBi4, relaxed, DFT PBE
# formation enthalpy at 0 K	-0.79	eV per atom
# V	567	Å³ per cell
data_La3PaBi4
_chemical_formula_sum 'La6 Pa2 Bi8'
_cell_length_a 6.567
_cell_length_b 6.567
_cell_length_c 13.143
_cell_angle_alpha 90.00
_cell_angle_beta 90.00
_cell_angle_gamma 90.00
_space_group_name_H-M_alt 'I 4/m m m'
_space_group_IT_number 139
_space_group_name_Hall '-I 4 2'
loop_
_atom_site_label
_atom_site_type_symbol
_atom_site_fract_x
_atom_site_fract_y
_atom_site_fract_z
La1 La 0.000 0.000 0.000
La2 La 0.000 0.500 0.250
Pa1 Pa 0.000 0.000 0.500
Bi1 Bi 0.000 0.000 0.257
Bi2 Bi 0.000 0.500 0.000



# La2PaBi3, relaxed, DFT PBE
# formation enthalpy at 0 K	-0.70	eV per atom
# V	420	Å³ per cell
data_La2PaBi3
_chemical_formula_sum 'La4 Pa2 Bi6'
_cell_length_a 4.612
_cell_length_b 4.644
_cell_length_c 19.616
_cell_angle_alpha 90.00
_cell_angle_beta 90.00
_cell_angle_gamma 90.00
_space_group_name_H-M_alt 'I m m m'
_space_group_IT_number 71
_space_group_name_Hall '-I 2 2'
loop_
_atom_site_label
_atom_site_type_symbol
_atom_site_fract_x
_atom_site_fract_y
_atom_site_fract_z
La1 La 0.000 0.000 0.168
Pa1 Pa 0.000 0.000 0.500
Bi1 Bi 0.000 0.000 0.000
Bi2 Bi 0.000 0.000 0.338



# La2PrPaBi4, relaxed, DFT PBE
# formation enthalpy at 0 K	-0.78	eV per atom
# V	281	Å³ per cell
data_La2PrPaBi4
_chemical_formula_sum 'La2 Pr1 Pa1 Bi4'
_cell_length_a 8.010
_cell_length_b 4.612
_cell_length_c 8.038
_cell_angle_alpha 90.00
_cell_angle_beta 109.18
_cell_angle_gamma 90.00
_space_group_name_H-M_alt 'P 1 2/m 1'
_space_group_IT_number 10
_space_group_name_Hall '-P 2y'
loop_
_atom_site_label
_atom_site_type_symbol
_atom_site_fract_x
_atom_site_fract_y
_atom_site_fract_z
La1 La 0.000 0.000 0.000
La2 La 0.500 0.500 0.000
Pr1 Pr 0.000 0.500 0.500
Pa1 Pa 0.500 0.000 0.500
Bi1 Bi 0.254 0.000 0.743
Bi2 Bi 0.258 0.500 0.260



# La6BiPb5, relaxed, DFT PBE
# formation enthalpy at 0 K	-0.55	eV per atom
# V	876	Å³ per cell
data_La6BiPb5
_chemical_formula_sum 'La12 Bi2 Pb10'
_cell_length_a 8.115
_cell_length_b 13.963
_cell_length_c 8.179
_cell_angle_alpha 90.00
_cell_angle_beta 109.08
_cell_angle_gamma 90.00
_space_group_name_H-M_alt 'C 1 2/m 1'
_space_group_IT_number 12
_space_group_name_Hall '-C 2y'
loop_
_atom_site_label
_atom_site_type_symbol
_atom_site_fract_x
_atom_site_fract_y
_atom_site_fract_z
La1 La 0.247 0.165 0.248
La2 La 0.248 0.000 0.754
Bi1 Bi 0.000 0.000 0.000
Pb1 Pb 0.000 0.166 0.500
Pb2 Pb 0.000 0.334 0.000
Pb3 Pb 0.000 0.500 0.500